The following is a DFT calculation (PBE) of crystalline Na2LiSnSb2 at its relaxed geometry.

a b c (Å): 9.036 9.036 9.036
angles (deg): 138.11 63.26 134.87
Sites, in units of the cell vectors:
Na: 0.175 0.245 0.420
Na: 0.325 0.745 0.070
Na: 0.675 0.255 0.930
Na: 0.825 0.755 0.580
Li: 0.250 0.750 0.500
Li: 0.750 0.250 0.500
Sn: 0.250 0.250 0.000
Sn: 0.750 0.750 0.000
Sb: 0.116 0.740 0.855
Sb: 0.384 0.240 0.624
Sb: 0.616 0.760 0.376
Sb: 0.884 0.260 0.145

Calculated values
**Raw total energy**: -3.150 eV/atom
**Formation energy (no corrections)**: -350 meV per atom
**Total magnetic moment**: 0.00 μB/f.u.

The following is a DFT calculation (PBE) of crystalline NaLiTaSb2 at its relaxed geometry.

a b c (Å): 5.352 5.352 5.452
angles (deg): 90.00 90.00 90.00
Sites, in units of the cell vectors:
Na: 0.000 0.000 0.000
Li: 0.500 0.500 0.000
Ta: 0.500 0.500 0.500
Sb: 0.000 0.500 0.500
Sb: 0.500 0.000 0.500

Calculated values
**Raw total energy**: -4.387 eV/atom
**Formation energy (no corrections)**: 279 meV per atom
**Total magnetic moment**: 0.00 μB/f.u.

The following is a DFT calculation (PBE) of crystalline NaLiSbTe2 at its relaxed geometry.

a b c (Å): 5.646 5.646 5.379
angles (deg): 90.00 90.00 90.00
Sites, in units of the cell vectors:
Na: 0.000 0.000 0.000
Li: 0.500 0.500 0.500
Sb: 0.000 0.000 0.500
Te: 0.000 0.500 0.000
Te: 0.500 0.000 0.000

Calculated values
**Raw total energy**: -2.411 eV/atom
**Offset from the most stable computed form**: 417.9 meV per atom
**Formation energy (no corrections)**: 317 meV per atom
**Total magnetic moment**: 0.00 μB/f.u.

The following is a DFT calculation (PBE) of crystalline NaLiSbTe2 at its relaxed geometry.

a b c (Å): 5.382 5.382 4.946
angles (deg): 90.00 90.00 90.00
Sites, in units of the cell vectors:
Na: 0.000 0.000 0.000
Li: 0.500 0.500 0.500
Sb: 0.500 0.500 0.000
Te: 0.000 0.500 0.500
Te: 0.500 0.000 0.500

Calculated values
**Raw total energy**: -2.829 eV/atom
**Offset from the most stable computed form**: 0.0 meV per atom
**Formation energy (no corrections)**: -101 meV per atom
**Total magnetic moment**: 0.00 μB/f.u.

The following is a DFT calculation (PBE) of crystalline Na2LiTlSb at its relaxed geometry.

a b c (Å): 5.755 5.755 5.813
angles (deg): 90.00 90.00 90.00
Sites, in units of the cell vectors:
Na: 0.000 0.500 0.000
Na: 0.500 0.000 0.000
Li: 0.000 0.000 0.500
Tl: 0.500 0.500 0.000
Sb: 0.500 0.500 0.500

Calculated values
**Raw total energy**: -1.995 eV/atom
**Formation energy (no corrections)**: 213 meV per atom
**Total magnetic moment**: 0.00 μB/f.u.

The following is a DFT calculation (PBE) of crystalline Na2Li3ZnSb4 at its relaxed geometry.

a b c (Å): 4.405 4.405 12.594
angles (deg): 90.00 90.00 90.00
Sites, in units of the cell vectors:
Na: 0.000 0.500 0.222
Na: 0.500 0.000 0.778
Li: 0.000 0.000 0.000
Li: 0.000 0.500 0.650
Li: 0.500 0.000 0.350
Zn: 0.500 0.500 0.000
Sb: 0.000 0.000 0.500
Sb: 0.000 0.500 0.865
Sb: 0.500 0.000 0.135
Sb: 0.500 0.500 0.500

Calculated values
**Raw total energy**: -2.998 eV/atom
**Formation energy (no corrections)**: -383 meV per atom
**Total magnetic moment**: 0.00 μB/f.u.

The following is a DFT calculation (PBE) of crystalline NaLiZnSb at its relaxed geometry.

a b c (Å): 4.938 4.938 4.938
angles (deg): 60.00 60.00 60.00
Sites, in units of the cell vectors:
Na: 0.000 0.000 0.000
Li: 0.500 0.500 0.500
Zn: 0.750 0.750 0.750
Sb: 0.250 0.250 0.250

Calculated values
**Raw total energy**: -2.347 eV/atom
**Formation energy (no corrections)**: -189 meV per atom
**Total magnetic moment**: 0.00 μB/f.u.

The following is a DFT calculation (PBE) of crystalline Na2LiZn3Sb4 at its relaxed geometry.

a b c (Å): 4.697 4.697 11.382
angles (deg): 90.00 90.00 90.00
Sites, in units of the cell vectors:
Na: 0.000 0.500 0.233
Na: 0.500 0.000 0.767
Li: 0.500 0.500 0.000
Zn: 0.000 0.000 0.000
Zn: 0.000 0.500 0.638
Zn: 0.500 0.000 0.362
Sb: 0.000 0.000 0.500
Sb: 0.000 0.500 0.867
Sb: 0.500 0.000 0.133
Sb: 0.500 0.500 0.500

Calculated values
**Raw total energy**: -2.730 eV/atom
**Formation energy (no corrections)**: -244 meV per atom
**Total magnetic moment**: 0.00 μB/f.u.